DFT (GGA-PBE) results for a geometry-optimized CaNiBiB2 structure.

Properties
mass density	5.93	g/cm³
space-group type	No. 123
energy	-4.3643	eV/atom
DFT formation energy	62	kJ/mol of atoms

Structure (CIF):
```
data_CaNiBiB2
_chemical_formula_sum 'Ca1 Ni1 Bi1 B2'
_symmetry_space_group_name_H-M 'P 1'
_symmetry_Int_Tables_number 1
_cell_length_a 4.074
_cell_length_b 5.555
_cell_length_c 4.074
_cell_angle_alpha 90.00
_cell_angle_beta 90.00
_cell_angle_gamma 90.00
loop_
_symmetry_equiv_pos_as_xyz
'x,y,z'
loop_
_atom_site_label
_atom_site_fract_x
_atom_site_fract_y
_atom_site_fract_z
Ni1 0.000 0.000 0.000
Ca1 0.500 0.500 0.500
B1 0.000 0.000 0.500
B2 0.500 0.000 0.000
Bi1 0.000 0.500 0.000
```

DFT (GGA-PBE) results for a geometry-optimized CaBiB2O structure.

Properties
mass density	3.54	g/cm³
ΔE to the lowest computed polymorph	861	meV/atom
uncorrected formation energy	1.48	eV/atom
space-group type	No. 123
energy	-3.3572	eV/atom

Structure (CIF):
```
data_CaBiB2O
_chemical_formula_sum 'Ca1 Bi1 B2 O1'
_symmetry_space_group_name_H-M 'P 1'
_symmetry_Int_Tables_number 1
_cell_length_a 4.447
_cell_length_b 6.804
_cell_length_c 4.447
_cell_angle_alpha 90.00
_cell_angle_beta 90.00
_cell_angle_gamma 90.00
loop_
_symmetry_equiv_pos_as_xyz
'x,y,z'
loop_
_atom_site_label
_atom_site_fract_x
_atom_site_fract_y
_atom_site_fract_z
Ca1 0.000 0.500 0.000
B1 0.000 0.000 0.500
B2 0.500 0.000 0.000
Bi1 0.000 0.000 0.000
O1 0.500 0.500 0.500
```

DFT (GGA-PBE) results for a geometry-optimized Ca2BiBO5 structure.

Properties
mass density	5.26	g/cm³
uncorrected formation energy	-2.18	eV/atom
space-group type	No. 36
energy	-6.5502	eV/atom

Structure (CIF):
```
data_Ca2BiBO5
_chemical_formula_sum 'Ca4 Bi2 B2 O10'
_symmetry_space_group_name_H-M 'P 1'
_symmetry_Int_Tables_number 1
_cell_length_a 3.166
_cell_length_b 7.924
_cell_length_c 9.762
_cell_angle_alpha 90.00
_cell_angle_beta 90.00
_cell_angle_gamma 101.52
loop_
_symmetry_equiv_pos_as_xyz
'x,y,z'
loop_
_atom_site_label
_atom_site_fract_x
_atom_site_fract_y
_atom_site_fract_z
Ca1 0.887 0.774 0.846
Ca2 0.086 0.172 0.671
Ca3 0.113 0.226 0.346
Ca4 0.914 0.828 0.171
Bi1 0.798 0.595 0.536
Bi2 0.202 0.405 0.036
B1 0.547 0.094 0.902
B2 0.453 0.906 0.402
O1 0.349 0.697 0.024
O2 0.635 0.269 0.865
O3 0.490 0.980 0.790
O4 0.308 0.617 0.700
O5 0.973 0.945 0.490
O6 0.651 0.303 0.524
O7 0.365 0.731 0.365
O8 0.510 0.020 0.290
O9 0.692 0.383 0.200
O10 0.027 0.055 0.990
```

DFT (GGA-PBE) results for a geometry-optimized CaBiB2O6 structure.

Properties
mass density	4.81	g/cm³
uncorrected formation energy	-2.19	eV/atom
space-group type	No. 148
energy	-7.0935	eV/atom

Structure (CIF):
```
data_CaBiB2O6
_chemical_formula_sum 'Ca1 Bi1 B2 O6'
_symmetry_space_group_name_H-M 'P 1'
_symmetry_Int_Tables_number 1
_cell_length_a 5.082
_cell_length_b 5.082
_cell_length_c 6.378
_cell_angle_alpha 66.52
_cell_angle_beta 66.52
_cell_angle_gamma 60.00
loop_
_symmetry_equiv_pos_as_xyz
'x,y,z'
loop_
_atom_site_label
_atom_site_fract_x
_atom_site_fract_y
_atom_site_fract_z
Ca1 0.500 0.500 0.500
Bi1 0.000 0.000 0.000
B1 0.745 0.745 0.766
B2 0.255 0.255 0.234
O1 0.019 0.473 0.761
O2 0.747 0.019 0.761
O3 0.527 0.253 0.239
O4 0.981 0.527 0.239
O5 0.253 0.981 0.239
O6 0.473 0.747 0.761
```

DFT (GGA-PBE) results for a geometry-optimized CaBiB2O structure.

Properties
mass density	5.79	g/cm³
ΔE to the lowest computed polymorph	0	meV/atom
uncorrected formation energy	0.62	eV/atom
space-group type	No. 123
energy	-4.2181	eV/atom

Structure (CIF):
```
data_CaBiB2O
_chemical_formula_sum 'Ca1 Bi1 B2 O1'
_symmetry_space_group_name_H-M 'P 1'
_symmetry_Int_Tables_number 1
_cell_length_a 4.400
_cell_length_b 4.245
_cell_length_c 4.400
_cell_angle_alpha 90.00
_cell_angle_beta 90.00
_cell_angle_gamma 90.00
loop_
_symmetry_equiv_pos_as_xyz
'x,y,z'
loop_
_atom_site_label
_atom_site_fract_x
_atom_site_fract_y
_atom_site_fract_z
Ca1 0.000 0.500 0.000
B1 0.000 0.000 0.500
B2 0.500 0.000 0.000
Bi1 0.500 0.500 0.500
O1 0.000 0.000 0.000
```

DFT (GGA-PBE) results for a geometry-optimized Ca2BiBPd6 structure.

Properties
mass density	7.90	g/cm³
space-group type	No. 59
energy	-5.1148	eV/atom
DFT formation energy	-52	kJ/mol of atoms

Structure (CIF):
```
data_Ca2BiBPd6
_chemical_formula_sum 'Ca4 Bi2 B2 Pd12'
_symmetry_space_group_name_H-M 'P 1'
_symmetry_Int_Tables_number 1
_cell_length_a 5.859
_cell_length_b 7.615
_cell_length_c 8.845
_cell_angle_alpha 90.00
_cell_angle_beta 90.00
_cell_angle_gamma 90.00
loop_
_symmetry_equiv_pos_as_xyz
'x,y,z'
loop_
_atom_site_label
_atom_site_fract_x
_atom_site_fract_y
_atom_site_fract_z
Ca1 0.500 0.733 0.277
Ca2 0.000 0.267 0.777
Ca3 0.500 0.733 0.723
Ca4 0.000 0.267 0.223
Bi1 0.000 0.664 0.500
Bi2 0.500 0.336 0.000
B1 0.500 0.171 0.500
B2 0.000 0.829 0.000
Pd1 0.500 0.142 0.263
Pd2 0.500 0.142 0.737
Pd3 0.000 0.858 0.237
Pd4 0.000 0.858 0.763
Pd5 0.237 0.989 0.500
Pd6 0.763 0.989 0.500
Pd7 0.255 0.369 0.500
Pd8 0.745 0.369 0.500
Pd9 0.755 0.631 0.000
Pd10 0.245 0.631 0.000
Pd11 0.263 0.011 0.000
Pd12 0.737 0.011 0.000
```